First-principles (PBE) data for ScTlSnSe2 after structural relaxation, as listed in Alexandria.

DOS(E_F): 4.2 states/eV per cell
DFT total energy: -3.664 eV per atom
formation energy without anion corrections: 0.27 eV/atom

Unit cell a=5.430 b=5.447 c=5.430 alpha=90.00 beta=90.00 gamma=90.00
Last column: magnetic moment on the atom in μB.
Positions (direct):
Sn  0.000  0.000  0.000  0.00
Sc  0.500  0.500  0.500  0.82
Tl  0.000  0.500  0.000  0.05
Se  0.500  0.000  0.000  -0.01
Se  0.000  0.000  0.500  -0.01